# 1
The following is a PBE-GGA calculation of a geometry-optimized CrTe structure, from Alexandria.

a b c (Å): 3.9801 3.9801 21.0233
angles (deg): 90.00 90.00 120.00
Fractional coordinates of all 12 atoms:
Cr 0.0000 0.0000 0.3343
Cr 0.0000 0.0000 0.6657
Cr 0.3333 0.6667 0.6673
Cr 0.3333 0.6667 0.9991
Cr 0.6667 0.3333 0.0009
Cr 0.6667 0.3333 0.3327
Te 0.0000 0.0000 0.0790
Te 0.0000 0.0000 0.9210
Te 0.3333 0.6667 0.4125
Te 0.3333 0.6667 0.2545
Te 0.6667 0.3333 0.7455
Te 0.6667 0.3333 0.5875

Properties
Magnetization ... 3.346 Bohr magnetons per cell
Formation energy without anion corrections ... 102 meV/atom
SG ... R-3m
Density of states at the Fermi level ... 0.75 states/eV per atom


# 2
The following is a PBE-GGA calculation of a geometry-optimized Cr2FeTe structure, from Alexandria.

a b c (Å): 3.7001 3.7001 9.3767
angles (deg): 78.62 78.62 90.00
Fractional coordinates of all 8 atoms:
Cr 0.5604 0.1250 0.2500
Cr 0.1896 0.6250 0.2500
Cr 0.3750 0.4396 0.7500
Cr 0.8750 0.8104 0.7500
Te 0.0000 0.0000 0.0000
Te 0.7500 0.2500 0.5000
Fe 0.5000 0.5000 0.0000
Fe 0.2500 0.7500 0.5000

Properties
Magnetization ... 4.982 Bohr magnetons per cell
Formation energy without anion corrections ... 752 meV/atom
SG ... I-42d
Density of states at the Fermi level ... 1.62 states/eV per atom
Distance to the lowest polymorph of the same formula ... 393 meV/atom


# 3
The following is a PBE-GGA calculation of a geometry-optimized BaLiZn structure, from Alexandria.

a b c (Å): 4.3555 4.6582 11.2033
angles (deg): 90.01 77.89 57.68
Fractional coordinates of all 6 atoms:
Ba 0.6882 0.1553 0.3261
Ba 0.3118 0.8447 0.6739
Li 0.0732 0.4641 0.8896
Li 0.9268 0.5359 0.1104
Zn 0.6639 0.1681 0.9929
Zn 0.3362 0.8319 0.0071

Properties
Magnetization ... 0.000 Bohr magnetons per cell
ΔE_f ... -60.1 meV/atom
SG ... P-1
Density of states at the Fermi level ... 0.54 states/eV per atom
Distance to the lowest polymorph of the same formula ... 34 meV/atom


# 4
The following is a PBE-GGA calculation of a geometry-optimized Mg2In3 structure, from Alexandria.

a b c (Å): 6.0626 6.0626 9.0610
angles (deg): 70.46 70.46 60.00
Fractional coordinates of all 10 atoms:
Mg 0.8121 0.8121 0.5636
Mg 0.3121 0.3121 0.0636
Mg 0.1879 0.1879 0.4364
Mg 0.6879 0.6879 0.9364
In 0.2369 0.7500 0.7500
In 0.7500 0.2631 0.7500
In 0.2631 0.2369 0.7500
In 0.2500 0.7369 0.2500
In 0.7369 0.7631 0.2500
In 0.7631 0.2500 0.2500

Properties
Magnetization ... 0.000 Bohr magnetons per cell
ΔE_f ... 53.2 meV/atom
SG ... R-3c
Density of states at the Fermi level ... 0.28 states/eV per atom
Distance to the lowest polymorph of the same formula ... 125 meV/atom